Here is an optimized crystal structure of ZnInPdPt from Alexandria. Energies are from PBE-GGA.

Its volume is 16.320 Å³ per atom. For the spin magnetization, the calculation gives 0.000 μB per atom. As for the formation energy from the elements: -0.480 eV per atom. The density of states at the Fermi level comes out at 0.455 states/eV per atom.

It has space group Pmmm (No. 47), with a = 3.604 Å, b = 4.232 Å, c = 4.280 Å, α = 90.00°, β = 90.00° and γ = 90.00°. Symmetry generates all atoms from Zn at (0.000, 0.000, 0.000), In at (0.000, 0.500, 0.500), Pd at (0.500, 0.000, 0.500) and Pt at (0.500, 0.500, 0.000).